Record 1
Computed, not measured: a geometry-optimized GaCo2Mo structure at the PBE-GGA level of DFT.

Lattice parameters (Å, degrees): 4.305 4.305 2.761 90.00 90.00 90.00
Space group P4/mmm (No. 123)
Unique sites:
Ga  0.000  0.000  0.000 x1
Co  0.000  0.500  0.500 x2
Mo  0.500  0.500  0.000 x1

Calculated values
DFT formation energy in meV/atom: 15

---

Record 2
Computed, not measured: a geometry-optimized Li3Ga6Ir structure at the PBE-GGA level of DFT.

Lattice parameters (Å, degrees): 7.290 10.301 4.337 90.00 90.00 90.00
Space group Pnnm (No. 58)
Unique sites:
Li  0.000  0.000  0.000 x2
Li  0.169  0.138  0.500 x4
Ga  0.006  0.755  0.000 x4
Ga  0.137  0.596  0.500 x4
Ga  0.188  0.875  0.500 x4
Ir  0.000  0.500  0.000 x2

Calculated values
DFT formation energy in meV/atom: -303

---

Record 3
Computed, not measured: a geometry-optimized TcAgIN2 structure at the PBE-GGA level of DFT.

Lattice parameters (Å, degrees): 3.921 3.921 5.924 90.00 90.00 90.00
Space group P4/mmm (No. 123)
Unique sites:
Tc  0.000  0.000  0.000 x1
Ag  0.500  0.500  0.500 x1
I  0.000  0.000  0.500 x1
N  0.000  0.500  0.000 x2

Calculated values
Formation energy (no corrections) in eV per atom: 0.6938

---

Record 4
Computed, not measured: a geometry-optimized Er3Ga4Au4 structure at the PBE-GGA level of DFT.

Lattice parameters (Å, degrees): 3.530 4.493 14.339 98.94 96.97 90.02
Space group P-1 (No. 2)
Unique sites:
Er  0.000  0.000  0.000 x1
Er  0.142  0.640  0.284 x2
Ga  0.260  0.262  0.521 x2
Ga  0.406  0.907  0.811 x2
Au  0.314  0.816  0.628 x2
Au  0.452  0.451  0.901 x2

Calculated values
DFT formation energy in meV/atom: -688

---

Record 5
Computed, not measured: a geometry-optimized PaMnN structure at the PBE-GGA level of DFT.

Lattice parameters (Å, degrees): 3.6686 3.6686 3.4466 90.00 90.00 120.00
Space group P3m1 (No. 156)
Unique sites:
Pa  0.0000  0.0000  0.0000 x1
Mn  0.6667  0.3333  0.4887 x1
N  0.3333  0.6667  0.5577 x1

Calculated values
Formation energy (no corrections) in eV per atom: -0.3438

---

Record 6
Computed, not measured: a geometry-optimized SrLiMgIr structure at the PBE-GGA level of DFT.

Lattice parameters (Å, degrees): 6.975 6.975 6.975 90.00 90.00 90.00
Space group F-43m (No. 216)
Unique sites:
Sr  0.000  0.000  0.000 x4
Li  0.250  0.250  0.250 x4
Mg  0.000  0.000  0.500 x4
Ir  0.250  0.250  0.750 x4

Calculated values
DFT formation energy in meV/atom: -80

---

Record 7
Computed, not measured: a geometry-optimized Zn2FeRe structure at the PBE-GGA level of DFT.

Lattice parameters (Å, degrees): 8.682 2.652 4.777 90.00 98.54 90.00
Space group Cm (No. 8)
Unique sites:
Zn  0.000  0.000  0.000 x2
Zn  0.245  0.000  0.778 x2
Fe  0.498  0.000  0.491 x2
Re  0.254  0.500  0.290 x2

Calculated values
DFT formation energy in meV/atom: 188

---

Record 8
Computed, not measured: a geometry-optimized Pr2Th2Te7 structure at the PBE-GGA level of DFT.

Lattice parameters (Å, degrees): 5.338 5.338 15.151 90.00 90.00 90.00
Space group P-4m2 (No. 115)
Unique sites:
Pr  0.000  0.500  0.138 x2
Th  0.000  0.500  0.625 x2
Te  0.000  0.000  0.243 x2
Te  0.000  0.000  0.500 x1
Te  0.500  0.500  0.000 x1
Te  0.500  0.500  0.259 x2
Te  0.500  0.500  0.500 x1

Calculated values
Formation energy (no corrections) in eV per atom: -1.1629

---

Record 9
Computed, not measured: a geometry-optimized GaMo2C structure at the PBE-GGA level of DFT.

Lattice parameters (Å, degrees): 2.9272 2.9272 7.1516 90.00 90.00 120.00
Space group P-6m2 (No. 187)
Unique sites:
Ga  0.0000  0.0000  0.0000 x1
Mo  0.3333  0.6667  0.3074 x2
C  0.6667  0.3333  0.5000 x1

Calculated values
DFT formation energy in meV/atom: -58

---

Record 10
Computed, not measured: a geometry-optimized LiGaTe2Mo structure at the PBE-GGA level of DFT.

Lattice parameters (Å, degrees): 5.421 5.421 4.506 90.00 90.00 90.00
Space group P4/mmm (No. 123)
Unique sites:
Li  0.000  0.000  0.000 x1
Ga  0.000  0.000  0.500 x1
Te  0.000  0.500  0.500 x2
Mo  0.500  0.500  0.000 x1

Calculated values
Formation energy (no corrections) in eV per atom: 0.7851

---

Record 11
Computed, not measured: a geometry-optimized LiCd2Ni structure at the PBE-GGA level of DFT.

Lattice parameters (Å, degrees): 2.9716 2.9716 27.3073 90.00 90.00 120.00
Space group R-3m (No. 166, hexagonal axes)
Unique sites:
Li  0.0000  0.0000  0.0000 x3
Cd  0.0000  0.0000  0.2445 x6
Ni  0.0000  0.0000  0.5000 x3

Calculated values
DFT formation energy in meV/atom: 1

---

Record 12
Computed, not measured: a geometry-optimized CeCd6Ag6 structure at the PBE-GGA level of DFT.

Lattice parameters (Å, degrees): 5.588 9.854 9.986 90.00 90.00 90.00
Space group Immm (No. 71)
Unique sites:
Ce  0.000  0.000  0.000 x2
Cd  0.000  0.000  0.348 x4
Cd  0.000  0.347  0.000 x4
Cd  0.000  0.500  0.304 x4
Ag  0.000  0.277  0.500 x4
Ag  0.250  0.250  0.250 x8

Calculated values
DFT formation energy in meV/atom: -94